Compound: MnBr
Source: Alexandria via LeMat-Bulk
Functional: PBE
Structure: relaxed

Summary:
formation energy (no corrections)	24.35	kJ per mole of atoms
uncorrected energy	-20.7	eV per cell
space-group type	Amm2

Lattice parameters (Å, degrees): 3.498 4.397 7.551 90.00 90.00 90.00
Each line ends with the local moment (μB).
Fractional positions:
1 Mn 0.500 0.000 0.935  3.88
2 Mn 0.500 0.500 0.435  3.88
3 Br 0.500 0.000 0.600  0.02
4 Br 0.500 0.500 0.100  0.02